A | DFT (PBE-GGA) results for YSn3Br after structural relaxation.

```
YSn3Br
1.0
5.9484 0.0000 0.0000
0.0000 5.9484 0.0000
0.0000 0.0000 5.9484
Y Sn Br
1 3 1
Direct
0.0000 0.0000 0.0000
0.0000 0.0000 0.5000
0.0000 0.5000 0.0000
0.5000 0.0000 0.0000
0.5000 0.5000 0.5000
```

Total magnetic moment   0.000 μB/f.u.

=====

B | DFT (PBE-GGA) results for YSn3Br after structural relaxation.

```
YSn3Br
1.0
5.4846 0.0000 0.0000
0.0000 5.4846 0.0000
0.0000 0.0000 5.4846
Y Sn Br
1 3 1
Direct
0.0000 0.0000 0.0000
0.0000 0.5000 0.5000
0.5000 0.0000 0.5000
0.5000 0.5000 0.0000
0.5000 0.5000 0.5000
```

Total magnetic moment   0.000 μB/f.u.

=====

Stability ranking, top and bottom: B is the most stable and A is the least stable.